The following is a DFT calculation (PBE-GGA) of a relaxed structure of ScNbBi2Ru.

## Properties
Space-group type: P4/mmm, No. 123
Theoretical density: 8.02 g cm⁻³
Formation energy from the elements: 7.371 eV/f.u.

abc: 5.417 4.637 5.417
angles: 90.00 90.00 90.00
Element x y z (fractional)
Bi 0.500 0.000 0.000
Bi 0.000 0.000 0.500
Nb 0.000 0.500 0.000
Ru 0.500 0.500 0.500
Sc 0.000 0.000 0.000